[1]
Entry from the Alexandria database: Ti5Al2Co2Mo after structural relaxation (GGA-PBE).

Output
Size of the total moment ... 0.0 μB per formula unit
Density ... 5.37 Mg/m³
Space group ... P4/mbm, No. 127
Volume ... 15.7 Å³ per atom
N(E_F) ... 18.7 states/eV/cell
Calculated formation energy ... -208.2 meV per atom

a b c (Å): 3.1211 10.0211 10.0211
angles (deg): 90.00 90.00 90.00
Atoms (fractional coordinates):
Al (0.0000, 0.1751, 0.3249)
Ti (0.5000, 0.9335, 0.2010)
Co (0.0000, 0.8705, 0.3705)
Mo (0.0000, 0.0000, 0.0000)
Mo (0.0000, 0.5000, 0.5000)
Ti (0.5000, 0.0000, 0.5000)
Ti (0.5000, 0.2010, 0.0665)
Al (0.0000, 0.6751, 0.1751)
Ti (0.5000, 0.4335, 0.2990)
Ti (0.5000, 0.7010, 0.4335)
Ti (0.5000, 0.5665, 0.7010)
Ti (0.5000, 0.0665, 0.7990)
Al (0.0000, 0.8249, 0.6751)
Ti (0.5000, 0.7990, 0.9335)
Co (0.0000, 0.1295, 0.6295)
Al (0.0000, 0.3249, 0.8249)
Co (0.0000, 0.3705, 0.1295)
Ti (0.5000, 0.5000, 0.0000)
Co (0.0000, 0.6295, 0.8705)
Ti (0.5000, 0.2990, 0.5665)


[2]
Entry from the Alexandria database: NbRu4 after structural relaxation (GGA-PBE).

Output
Size of the total moment ... 0.0 μB per formula unit
Density ... 10.22 Mg/m³
Space group ... I4/mmm, No. 139
Energy relative to the lowest polymorph listed for this composition ... 0.0 meV per atom
Volume ... 16.2 Å³ per atom
N(E_F) ... 4.6 states/eV/cell
Calculated formation energy ... 362.5 meV per atom

a b c (Å): 3.7213 6.3999 3.7213
angles (deg): 106.90 90.00 106.90
Atoms (fractional coordinates):
Nb (0.0000, 0.0000, 0.0000)
Ru (0.3999, 0.7998, 0.3999)
Ru (0.7500, 0.5000, 0.2500)
Ru (0.6001, 0.2002, 0.6001)
Ru (0.2500, 0.5000, 0.7500)


[3]
Entry from the Alexandria database: Sm3Tl2Cd2 after structural relaxation (GGA-PBE).

Output
Size of the total moment ... 0.6 μB per formula unit
Density ... 9.45 Mg/m³
Space group ... Cmmm, No. 65
Volume ... 27.2 Å³ per atom
N(E_F) ... 6.4 states/eV/cell
Calculated formation energy ... -318.9 meV per atom

a b c (Å): 4.8276 3.4584 11.6717
angles (deg): 90.00 78.06 90.00
Atoms (fractional coordinates):
Sm (0.0000, 0.0000, 0.0000)
Cd (0.2831, 0.5000, 0.4339)
Sm (0.8448, 0.0000, 0.3104)
Sm (0.1552, 0.0000, 0.6896)
Tl (0.4219, 0.5000, 0.1562)
Cd (0.7169, 0.5000, 0.5661)
Tl (0.5781, 0.5000, 0.8438)


[4]
Entry from the Alexandria database: La6S2I3Cl after structural relaxation (GGA-PBE).

Output
Size of the total moment ... 0.0 μB per formula unit
Density ... 6.12 Mg/m³
Space group ... C2/m, No. 12
E_form (uncorrected) ... -1.477 eV/atom
Volume ... 29.7 Å³ per atom
N(E_F) ... 9.0 states/eV/cell

a b c (Å): 7.1836 7.1836 8.3148
angles (deg): 98.27 98.27 119.91
Atoms (fractional coordinates):
La (0.7248, 0.7248, 0.2009)
S (0.6666, 0.3334, 0.0000)
La (0.5903, 0.9328, 0.7984)
La (0.0672, 0.4097, 0.2016)
Cl (0.0000, 0.0000, 0.0000)
La (0.2752, 0.2752, 0.7991)
S (0.3334, 0.6666, 0.0000)
La (0.4097, 0.0672, 0.2016)
I (0.8347, 0.1653, 0.5000)
I (0.1653, 0.8347, 0.5000)
La (0.9328, 0.5903, 0.7984)
I (0.5000, 0.5000, 0.5000)


[5]
Entry from the Alexandria database: KAg2Ir after structural relaxation (GGA-PBE).

Output
Size of the total moment ... 0.7 μB per formula unit
Density ... 9.52 Mg/m³
Space group ... P4/mmm, No. 123
Energy relative to the lowest polymorph listed for this composition ... 80.6 meV per atom
Volume ... 19.5 Å³ per atom
N(E_F) ... 1.5 states/eV/cell
Calculated formation energy ... 553.1 meV per atom

a b c (Å): 5.2566 5.2566 2.8226
angles (deg): 90.00 90.00 90.00
Atoms (fractional coordinates):
Ag (0.0000, 0.0000, 0.0000)
Ir (0.5000, 0.0000, 0.5000)
K (0.0000, 0.5000, 0.5000)
Ag (0.5000, 0.5000, 0.0000)


[6]
Entry from the Alexandria database: AgSn2BO after structural relaxation (GGA-PBE).

Output
Size of the total moment ... 0.0 μB per formula unit
Density ... 5.43 Mg/m³
Space group ... P4/mmm, No. 123
E_form (uncorrected) ... 1.022 eV/atom
Volume ... 22.8 Å³ per atom
N(E_F) ... 2.5 states/eV/cell

a b c (Å): 5.3252 4.0158 5.3252
angles (deg): 90.00 90.00 90.00
Atoms (fractional coordinates):
B (0.0000, 0.5000, 0.0000)
Sn (0.0000, 0.0000, 0.5000)
Ag (0.0000, 0.0000, 0.0000)
O (0.5000, 0.5000, 0.5000)
Sn (0.5000, 0.0000, 0.0000)


[7]
Entry from the Alexandria database: Pm2Ga3HgAu4 after structural relaxation (GGA-PBE).

Output
Size of the total moment ... 0.0 μB per formula unit
Density ... 11.49 Mg/m³
Space group ... P-4m2, No. 115
Volume ... 21.5 Å³ per atom
N(E_F) ... 5.9 states/eV/cell
Calculated formation energy ... -551.1 meV per atom

a b c (Å): 4.3598 4.3598 11.3147
angles (deg): 90.00 90.00 90.00
Atoms (fractional coordinates):
Ga (0.0000, 0.0000, 0.5000)
Au (0.0000, 0.0000, 0.0000)
Ga (0.5000, 0.0000, 0.8736)
Au (0.5000, 0.0000, 0.6544)
Pm (0.5000, 0.0000, 0.2380)
Au (0.5000, 0.5000, 0.0000)
Ga (0.0000, 0.5000, 0.1264)
Au (0.0000, 0.5000, 0.3456)
Pm (0.0000, 0.5000, 0.7620)
Hg (0.5000, 0.5000, 0.5000)


[8]
Entry from the Alexandria database: TlP3 after structural relaxation (GGA-PBE).

Output
Size of the total moment ... 0.0 μB per formula unit
Density ... 5.58 Mg/m³
Space group ... Cmmm, No. 65
Volume ... 22.1 Å³ per atom
N(E_F) ... 2.7 states/eV/cell
Calculated formation energy ... 538.6 meV per atom

a b c (Å): 3.5758 3.5758 8.7335
angles (deg): 90.00 90.00 127.64
Atoms (fractional coordinates):
P (0.0000, 0.0000, 0.9322)
P (0.5000, 0.5000, 0.7500)
P (0.0000, 0.0000, 0.5678)
Tl (0.5000, 0.5000, 0.2500)